# 1
Below is a crystal of TiIN relaxed with PBEsol, with properties calculated at the SCAN level.

The value obtained for the magnetization is 0.000 μB/f.u. As for the total energy: -22.012 eV per atom. The uncorrected formation energy comes out at -128 kJ per mole of atoms. Its crystal system is orthorhombic.

The space group is Pmmn (No. 59, origin choice 2) and the conventional cell measures 3.493, 3.943 and 9.014 Å, with angles of 90.00, 90.00 and 90.00 degrees. Symmetry generates all atoms from Ti at (0.250, 0.250, 0.075), I at (0.250, 0.750, 0.683) and N at (0.250, 0.750, 0.037).

=====

# 2
Below is a crystal of AsPbSeBr2 relaxed with PBEsol, with properties calculated at the SCAN level.

The value obtained for the magnetization is 0.000 μB/f.u. As for the total energy: -30.762 eV per atom. The uncorrected formation energy comes out at 22 kJ per mole of atoms. Its crystal system is tetragonal.

The space group is P4/mmm (No. 123) and the conventional cell measures 5.129, 5.129 and 5.258 Å, with angles of 90.00, 90.00 and 90.00 degrees. Symmetry generates all atoms from As at (0.000, 0.000, 0.000), Pb at (0.500, 0.500, 0.000), Se at (0.000, 0.000, 0.500) and Br at (0.000, 0.500, 0.500).

=====

What did the first record say?
Below is a crystal of TiIN relaxed with PBEsol, with properties calculated at the SCAN level.

The value obtained for the magnetization is 0.000 μB/f.u. As for the total energy: -22.012 eV per atom. The uncorrected formation energy comes out at -128 kJ per mole of atoms. Its crystal system is orthorhombic.

The space group is Pmmn (No. 59, origin choice 2) and the conventional cell measures 3.493, 3.943 and 9.014 Å, with angles of 90.00, 90.00 and 90.00 degrees. Symmetry generates all atoms from Ti at (0.250, 0.250, 0.075), I at (0.250, 0.750, 0.683) and N at (0.250, 0.750, 0.037).